Density functional theory data (PBE-GGA) for crystalline Rb2ZrAg at its relaxed geometry.

- Energy relative to the lowest polymorph listed for this composition: 0 meV/atom
- Final energy: -9.56 eV/f.u.
- Mass density: 2.85 Mg/m³
- Formation energy: 0.945 eV/atom

Cell lengths 12.4156, 12.4156, 5.5917 Å; angles 90.00, 90.00, 90.00 degrees
Space group I-42d (No. 122)
One atom of each set of equivalent atoms:
Rb: 0.1169 0.7500 0.1250 x8
Zr: 0.0000 0.0000 0.5000 x4
Ag: 0.0000 0.0000 0.0000 x4